{
  "formula": "PmHfPdPt",
  "functional": "PBE-GGA",
  "state": "optimized geometry",
  "lattice": [[-0.178, -1.811, 4.530], [-3.455, -3.232, 1.203], [1.196, -4.662, 0.813]],
  "species": ["Pt", "Pm", "Pd", "Hf"],
  "frac_coords": [[0.750, 0.750, 0.750], [0.500, 0.500, 0.500], [0.250, 0.250, 0.250], [0.000, 0.000, 0.000]]
}


{
  "formula": "ZrTiAl2Cr",
  "functional": "PBE-GGA",
  "state": "optimized geometry",
  "lattice": [[-0.111, -4.137, -2.875], [4.109, 0.893, -1.445], [1.922, -2.693, 3.801]],
  "species": ["Al", "Cr", "Al", "Ti", "Zr"],
  "frac_coords": [[0.500, 0.000, 0.000], [0.000, 0.500, 0.000], [0.000, 0.000, 0.500], [0.500, 0.500, 0.500], [0.000, 0.000, 0.000]]
}


{
  "formula": "UAgSnPd",
  "functional": "PBE-GGA",
  "state": "optimized geometry",
  "lattice": [[4.915, 0.000, 0.000], [2.457, 4.257, 0.000], [2.457, 1.419, 4.013]],
  "species": ["Sn", "Ag", "U", "Pd"],
  "frac_coords": [[0.250, 0.250, 0.250], [0.500, 0.500, 0.500], [0.750, 0.750, 0.750], [0.000, 0.000, 0.000]]
}


{
  "formula": "Ca2MgAg3",
  "functional": "PBE-GGA",
  "state": "optimized geometry",
  "de_polymorph_ev_per_atom": 0.000,
  "lattice": [[-5.519, 2.242, 0.442], [1.679, -2.843, -4.978], [-2.901, -7.827, 3.491]],
  "species": ["Ca", "Ag", "Ag", "Ca", "Ca", "Mg", "Ag", "Ag", "Mg", "Ag", "Ag", "Ca"],
  "frac_coords": [[0.333, 0.667, 0.441], [0.170, 0.340, 0.750], [0.830, 0.170, 0.250], [0.667, 0.333, 0.559], [0.333, 0.667, 0.059], [0.000, 0.000, 0.000], [0.170, 0.830, 0.750], [0.830, 0.660, 0.250], [0.000, 0.000, 0.500], [0.340, 0.170, 0.250], [0.660, 0.830, 0.750], [0.667, 0.333, 0.941]]
}


{
  "formula": "Tb2HoMgBi4",
  "functional": "PBE-GGA",
  "state": "optimized geometry",
  "lattice": [[4.440, 0.000, 0.000], [0.000, 7.755, -0.119], [0.000, 2.761, 7.278]],
  "species": ["Bi", "Ho", "Tb", "Bi", "Mg", "Bi", "Tb", "Bi"],
  "frac_coords": [[0.000, 0.259, 0.243], [0.000, 0.500, 0.500], [0.000, 0.000, 0.000], [0.000, 0.741, 0.757], [0.500, 0.500, 0.000], [0.500, 0.747, 0.250], [0.500, 0.000, 0.500], [0.500, 0.253, 0.750]]
}


{
  "formula": "Li4TmPd7",
  "functional": "PBE-GGA",
  "state": "optimized geometry",
  "lattice": [[-3.350, -0.246, -3.589], [-6.069, -2.570, 2.475], [-4.530, 4.695, 0.540]],
  "species": ["Li", "Li", "Pd", "Pd", "Pd", "Tm", "Pd", "Pd", "Li", "Li", "Pd", "Pd"],
  "frac_coords": [[0.691, 0.643, 0.974], [0.539, 0.295, 0.626], [0.775, 0.886, 0.565], [0.071, 0.583, 0.274], [0.735, 0.295, 0.236], [0.000, 0.000, 0.000], [0.265, 0.705, 0.764], [0.500, 0.000, 0.000], [0.309, 0.357, 0.026], [0.461, 0.705, 0.374], [0.225, 0.114, 0.435], [0.929, 0.417, 0.726]]
}


{
  "formula": "PuTlHg",
  "functional": "PBE-GGA",
  "state": "optimized geometry",
  "de_polymorph_ev_per_atom": 0.023,
  "lattice": [[-0.812, -3.063, 1.258], [1.293, -1.486, -2.783], [5.810, 1.906, 3.771]],
  "species": ["Tl", "Pu", "Hg"],
  "frac_coords": [[0.620, 0.620, 0.240], [0.945, 0.945, 0.891], [0.285, 0.285, 0.569]]
}


{
  "formula": "Np2RuPb",
  "functional": "PBE-GGA",
  "state": "optimized geometry",
  "de_polymorph_ev_per_atom": 0.000,
  "lattice": [[-0.744, -2.657, -2.629], [2.829, 1.352, -2.166], [3.954, -3.844, 2.766]],
  "species": ["Np", "Ru", "Pb", "Np"],
  "frac_coords": [[0.000, 0.000, 0.790], [0.500, 0.500, 0.000], [0.500, 0.500, 0.500], [0.000, 0.000, 0.210]]
}


no.,calculated total energy (eV per cell),ΔH_f (0 K) (kJ/mol of formula units)
1,-28.98,-294
2,-27.29,604
3,-23.83,-47
4,-31.62,-160
5,-35.85,-473
6,-52.22,-361
7,-17.12,-12
8,-37.97,86